Entry 1:
The following is a DFT calculation (PBE) of an optimized crystal structure of LiTeBr.

abc: 4.211 4.219 11.391
angles: 87.34 87.29 89.73
Fractional coordinates of all 6 atoms:
Li (0.250, 0.249, 0.001)
Li (0.750, 0.751, 0.999)
Te (0.267, 0.768, 0.537)
Te (0.733, 0.232, 0.463)
Br (0.235, 0.735, 0.120)
Br (0.765, 0.265, 0.880)

Values from the calculation:
Raw formation energy, meV/atom: -947.8
M_tot, Bohr magnetons per cell: 0.000
Final energy, hartree per atom: -0.1173

Entry 2:
The following is a DFT calculation (PBE) of an optimized crystal structure of HfZr2O.

abc: 3.250 3.250 23.596
angles: 90.00 90.00 120.00
Fractional coordinates of all 12 atoms:
Hf (0.000, 0.000, 0.000)
Hf (0.333, 0.667, 0.667)
Hf (0.667, 0.333, 0.333)
Zr (0.000, 0.000, 0.225)
Zr (0.000, 0.000, 0.775)
Zr (0.333, 0.667, 0.441)
Zr (0.333, 0.667, 0.892)
Zr (0.667, 0.333, 0.108)
Zr (0.667, 0.333, 0.559)
O (0.000, 0.000, 0.500)
O (0.333, 0.667, 0.167)
O (0.667, 0.333, 0.833)

Values from the calculation:
Raw formation energy, meV/atom: -1243.0
M_tot, Bohr magnetons per cell: 0.000
Final energy, hartree per atom: -0.3397

Entry 3:
The following is a DFT calculation (PBE) of an optimized crystal structure of NaLa2SiH.

abc: 5.103 5.103 4.281
angles: 90.00 90.00 90.00
Fractional coordinates of all 5 atoms:
Na (0.000, 0.000, 0.000)
La (0.000, 0.500, 0.500)
La (0.500, 0.000, 0.500)
Si (0.500, 0.500, 0.000)
H (0.500, 0.500, 0.500)

Values from the calculation:
M_tot, Bohr magnetons per cell: 0.000
Final energy, hartree per atom: -0.1512

Entry 4:
The following is a DFT calculation (PBE) of an optimized crystal structure of LiCaPd.

abc: 3.544 3.544 9.900
angles: 90.00 90.00 90.00
Fractional coordinates of all 6 atoms:
Li (0.000, 0.000, 0.000)
Li (0.500, 0.500, 0.500)
Ca (0.000, 0.000, 0.284)
Ca (0.500, 0.500, 0.784)
Pd (0.000, 0.000, 0.607)
Pd (0.500, 0.500, 0.107)

Values from the calculation:
M_tot, Bohr magnetons per cell: 0.000
Final energy, hartree per atom: -0.1260
Energy of formation from the pure elements, eV/atom: -0.394